Entry 1:
10
Lattice="3.4652 2.0007 6.0116 -3.4652 2.0007 6.0116 0.0000 -4.0013 6.0116" Properties=species:S:1:pos:R:3 comment="K2CdWS6 | OQMD via LeMat-Bulk | PBE | relaxed" space_group=R-3m total_energy_ev_per_fu=-44.884 pbc="T T T"
K 0.0000 0.0000 4.4417
K 0.0000 0.0000 13.5930
Cd 0.0000 0.0000 0.0000
W 0.0000 0.0000 9.0173
S -1.6699 -0.9641 10.3888
S 0.0000 -1.9283 7.6459
S -1.6699 0.9641 7.6459
S 1.6700 -0.9641 10.3888
S 0.0000 1.9283 10.3888
S 1.6699 0.9641 7.6459

Entry 2:
24
Lattice="4.9343 -2.8563 0.0000 4.9343 2.8563 0.0000 -3.2474 0.0000 13.3996" Properties=species:S:1:pos:R:3 comment="Zr4Mo2Au3N3 | OQMD via LeMat-Bulk | PBE | relaxed" space_group=C2/c total_energy_ev_per_fu=-100.197 pbc="T T T"
Zr 0.8092 0.4889 1.2954
Zr 0.8598 0.4812 5.4070
Zr -0.8145 -0.4889 7.9953
Zr -0.7639 -0.4812 12.1068
Zr 7.3852 0.4812 1.2928
Zr 7.4358 0.4889 5.4044
Zr 5.7615 -0.4812 7.9927
Zr 5.8121 -0.4889 12.1042
Mo 4.1300 0.4686 0.8880
Mo 4.1149 0.4686 5.8118
Mo 2.5063 -0.4686 7.5879
Mo 2.4912 -0.4686 12.5116
Au 4.1225 2.1304 3.3499
Au 1.0697 0.3459 10.0354
Au 2.6934 -0.3459 3.3356
Au 3.9279 0.3459 10.0640
Au 5.5516 -0.3459 3.3642
Au 2.4988 -2.1304 10.0497
N 2.4672 1.4281 0.0000
N 2.4425 1.5040 6.6998
N 5.8024 1.5040 0.0000
N 0.8435 -1.4281 6.6998
N 4.0662 -1.5040 0.0000
N 4.1788 -1.5040 6.6998

Entry 3:
16
Lattice="6.7860 0.0000 0.0000 0.0000 6.7860 0.0000 0.0000 0.0000 6.7860" Properties=species:S:1:pos:R:3 comment="LuZnCuSn | OQMD via LeMat-Bulk | PBE | relaxed" relative_energy_ev_per_atom=0.087 space_group=F-43m pbc="T T T"
Lu 0.0000 0.0000 0.0000
Lu 0.0000 3.3930 3.3930
Lu 3.3930 0.0000 3.3930
Lu 3.3930 3.3930 0.0000
Zn 1.6965 1.6965 5.0895
Zn 1.6965 5.0895 1.6965
Zn 5.0895 1.6965 1.6965
Zn 5.0895 5.0895 5.0895
Cu 0.0000 0.0000 3.3930
Cu 0.0000 3.3930 0.0000
Cu 3.3930 0.0000 0.0000
Cu 3.3930 3.3930 3.3930
Sn 1.6965 1.6965 1.6965
Sn 1.6965 5.0895 5.0895
Sn 5.0895 1.6965 5.0895
Sn 5.0895 5.0895 1.6965

Entry 4:
16
Lattice="6.7339 0.0000 0.0000 0.0000 6.7339 0.0000 0.0000 0.0000 6.7339" Properties=species:S:1:pos:R:3 comment="CuSnBiOs | OQMD via LeMat-Bulk | PBE | relaxed" relative_energy_ev_per_atom=0.000 space_group=F-43m pbc="T T T"
Cu 0.0000 0.0000 0.0000
Cu 0.0000 3.3670 3.3670
Cu 3.3670 0.0000 3.3670
Cu 3.3670 3.3670 0.0000
Sn 1.6835 1.6835 1.6835
Sn 1.6835 5.0504 5.0504
Sn 5.0504 1.6835 5.0504
Sn 5.0504 5.0504 1.6835
Bi 1.6835 1.6835 5.0504
Bi 1.6835 5.0504 1.6835
Bi 5.0504 1.6835 1.6835
Bi 5.0504 5.0504 5.0504
Os 0.0000 0.0000 3.3670
Os 0.0000 3.3670 0.0000
Os 3.3670 0.0000 0.0000
Os 3.3670 3.3670 3.3670

Entry 5:
8
Lattice="4.3128 0.0000 0.0000 0.0000 4.3128 0.0000 0.0000 0.0000 6.2169" Properties=species:S:1:pos:R:3 comment="Li4MgZnCu2 | OQMD via LeMat-Bulk | PBE | relaxed" space_group=P-4m2 total_energy_ev_per_fu=-18.592 pbc="T T T"
Li 0.0000 0.0000 0.0000
Li 0.0000 2.1564 4.5158
Li 2.1564 0.0000 1.7011
Li 2.1564 2.1564 3.1084
Mg 2.1564 2.1564 0.0000
Zn 0.0000 0.0000 3.1084
Cu 0.0000 2.1564 1.6622
Cu 2.1564 0.0000 4.5547

Entry 6:
14
Lattice="-3.8567 3.8567 3.8567 3.8567 -3.8567 3.8567 3.8567 3.8567 -3.8567" Properties=species:S:1:pos:R:3 comment="Zn3S2F2 | OQMD via LeMat-Bulk | PBE | relaxed" space_group=I2_13 total_energy_ev_per_fu=-24.968 pbc="T T T"
Zn 5.7850 0.9189 0.0000
Zn 2.9378 0.0000 1.9283
Zn 1.9283 2.9378 0.0000
Zn 0.0000 1.9283 2.9378
Zn 0.9189 0.0000 5.7850
Zn 0.0000 5.7850 0.9189
S 5.6455 -1.7888 1.7888
S 1.7888 5.6455 -1.7888
S 2.0679 2.0679 2.0679
S -1.7888 1.7888 5.6455
F 3.8910 -0.0343 0.0343
F 0.0343 3.8910 -0.0343
F -0.0343 0.0343 3.8910
F 3.8224 3.8224 3.8224